No. 1
Material: Ti5H12Ru2
Method: DFT, PBE
State: optimized geometry

It has space group C2/m (No. 12), with a = 9.564 Å, b = 5.377 Å, c = 5.998 Å, α = 90.00°, β = 105.16° and γ = 90.00°. Symmetry generates all atoms from Ti at (0.000, 0.000, 0.000), Ti at (0.189, 0.500, 0.869), Ti at (0.221, 0.500, 0.342), H at (0.014, 0.500, 0.302), H at (0.064, 0.000, 0.352), H at (0.160, 0.255, 0.087), H at (0.187, 0.304, 0.600) and Ru at (0.000, 0.245, 0.500).

No. 2
Material: Y2Th2Sc5
Method: DFT, PBE
State: optimized geometry

It has space group Ima2 (No. 46), with a = 14.857 Å, b = 6.030 Å, c = 11.319 Å, α = 90.00°, β = 90.00° and γ = 90.00°. Symmetry generates all atoms from Y at (0.125, 0.011, 0.000), Th at (0.000, 0.000, 0.520), Th at (0.250, 0.505, 0.976), Sc at (0.050, 0.227, 0.269), Sc at (0.150, 0.707, 0.228) and Sc at (0.250, 0.236, 0.220).

The formation energy is 0.15 eV per atom. The polymorph energy (0 for the lowest one) comes out at 0 meV/atom.

No. 3
Material: Tl5Sn3Cl12
Method: DFT, PBE
State: optimized geometry

It has space group Ia-3d (No. 230), with a = 17.575 Å, b = 17.575 Å, c = 17.575 Å, α = 90.00°, β = 90.00° and γ = 90.00°. Symmetry generates all atoms from Tl at (0.000, 0.000, 0.000), Tl at (0.000, 0.250, 0.375), Sn at (0.000, 0.250, 0.125) and Cl at (0.020, 0.088, 0.649).

For the formation energy without anion corrections, the calculation gives -814 meV per atom. The polymorph energy (0 for the lowest one) comes out at 176 meV/atom.

No. 4
Material: RbScHg2Au
Method: DFT, PBE
State: optimized geometry

It has space group P4/mmm (No. 123), with a = 5.569 Å, b = 5.569 Å, c = 5.246 Å, α = 90.00°, β = 90.00° and γ = 90.00°. Symmetry generates all atoms from Rb at (0.000, 0.000, 0.000), Sc at (0.500, 0.500, 0.000), Hg at (0.000, 0.500, 0.500) and Au at (0.500, 0.500, 0.500).

The formation energy is 0.07 eV per atom. The polymorph energy (0 for the lowest one) comes out at 0 meV/atom.

No. 5
Material: Nd3YAl4
Method: DFT, PBE
State: optimized geometry

It has space group P4/mmm (No. 123), with a = 3.694 Å, b = 3.694 Å, c = 14.826 Å, α = 90.00°, β = 90.00° and γ = 90.00°. Symmetry generates all atoms from Nd at (0.000, 0.000, 0.000), Nd at (0.000, 0.000, 0.255), Y at (0.000, 0.000, 0.500), Al at (0.500, 0.500, 0.127) and Al at (0.500, 0.500, 0.384).

The formation energy is -0.37 eV per atom.

No. 6
Material: Ta2MoIrN
Method: DFT, PBE
State: optimized geometry

It has space group P4/mmm (No. 123), with a = 4.220 Å, b = 4.220 Å, c = 4.077 Å, α = 90.00°, β = 90.00° and γ = 90.00°. Symmetry generates all atoms from Ta at (0.000, 0.500, 0.000), Mo at (0.000, 0.000, 0.500), Ir at (0.500, 0.500, 0.500) and N at (0.000, 0.000, 0.000).

For the formation energy without anion corrections, the calculation gives -530 meV per atom.

No. 7
Material: NdAlOs
Method: DFT, PBE
State: optimized geometry

It has space group Imma (No. 74), with a = 5.489 Å, b = 5.645 Å, c = 7.543 Å, α = 90.00°, β = 90.00° and γ = 90.00°. Symmetry generates all atoms from Nd at (0.000, 0.250, 0.116), Al at (0.000, 0.000, 0.500) and Os at (0.250, 0.250, 0.750).

The formation energy is -0.34 eV per atom.

No. 8
Material: ReTcW2
Method: DFT, PBE
State: optimized geometry

It has space group Pmm2 (No. 25), with a = 2.763 Å, b = 4.014 Å, c = 5.632 Å, α = 90.00°, β = 90.00° and γ = 90.00°. Symmetry generates all atoms from Re at (0.000, 0.000, 0.000), Tc at (0.500, 0.500, 0.241), W at (0.000, 0.000, 0.487) and W at (0.500, 0.500, 0.752).

The formation energy is 0.22 eV per atom. The polymorph energy (0 for the lowest one) comes out at 146 meV/atom.

No. 9
Material: LiCo3Sn
Method: DFT, PBE
State: optimized geometry

It has space group Pm-3m (No. 221), with a = 3.993 Å, b = 3.993 Å, c = 3.993 Å, α = 90.00°, β = 90.00° and γ = 90.00°. Symmetry generates all atoms from Li at (0.000, 0.000, 0.000), Co at (0.000, 0.000, 0.500) and Sn at (0.500, 0.500, 0.500).

The formation energy is 0.71 eV per atom. The polymorph energy (0 for the lowest one) comes out at 0 meV/atom.

No. 10
Material: CaZn2IrSe
Method: DFT, PBE
State: optimized geometry

It has space group P4/mmm (No. 123), with a = 5.582 Å, b = 5.582 Å, c = 5.235 Å, α = 90.00°, β = 90.00° and γ = 90.00°. Symmetry generates all atoms from Ca at (0.000, 0.000, 0.000), Zn at (0.000, 0.500, 0.000), Ir at (0.500, 0.500, 0.500) and Se at (0.000, 0.000, 0.500).

For the formation energy without anion corrections, the calculation gives 1255 meV per atom.

No. 11
Material: HoGa4Ag
Method: DFT, PBE
State: optimized geometry

It has space group F-43m (No. 216), with a = 7.745 Å, b = 7.745 Å, c = 7.745 Å, α = 90.00°, β = 90.00° and γ = 90.00°. Symmetry generates all atoms from Ho at (0.000, 0.000, 0.000), Ga at (0.125, 0.125, 0.625) and Ag at (0.250, 0.250, 0.250).

The formation energy is -0.20 eV per atom. The polymorph energy (0 for the lowest one) comes out at 12 meV/atom.

No. 12
Material: Be2PtS2
Method: DFT, PBE
State: optimized geometry

It has space group P4/mbm (No. 127), with a = 6.885 Å, b = 6.885 Å, c = 3.347 Å, α = 90.00°, β = 90.00° and γ = 90.00°. Symmetry generates all atoms from Be at (0.229, 0.271, 0.000), Pt at (0.000, 0.000, 0.500) and S at (0.168, 0.668, 0.500).

For the formation energy without anion corrections, the calculation gives -14 meV per atom. The polymorph energy (0 for the lowest one) comes out at 28 meV/atom.

How do the records compare in uncorrected energy? In the order shown, they have -0.19955, -0.23727, -0.11444, -0.07951, -0.17777, -0.39963, -0.25420, -0.43947, -0.17399, -0.07806, -0.12689, -0.16037 Ha/atom.